No. 1
## Ce3OsPt2 (PBE)

Data for Ce3OsPt2 after structural relaxation.

Summary:
calculated formation energy: -488 meV per atom
SG: Immm

Lattice parameters (Å, degrees): 8.6454 8.6454 8.6454 157.77 145.20 41.68
Positions (direct):
Ce (0.0000, 0.0000, 0.0000)
Ce (0.3331, 0.8331, 0.5000)
Ce (0.6669, 0.1669, 0.5000)
Os (0.5000, 0.0000, 0.5000)
Pt (0.1603, 0.6603, 0.5000)
Pt (0.8397, 0.3397, 0.5000)



No. 2
## Ce8OsPt2 (PBE)

Data for Ce8OsPt2 after structural relaxation.

Summary:
calculated formation energy: -411 meV per atom
SG: C2/m

Lattice parameters (Å, degrees): 9.2488 9.2488 6.5685 99.45 99.45 28.79
Positions (direct):
Ce (0.0073, 0.0073, 0.2517)
Ce (0.2213, 0.2213, 0.2510)
Ce (0.3421, 0.3421, 0.0139)
Ce (0.4099, 0.4099, 0.5466)
Ce (0.5901, 0.5901, 0.4534)
Ce (0.6579, 0.6579, 0.9861)
Ce (0.7787, 0.7787, 0.7490)
Ce (0.9927, 0.9927, 0.7483)
Os (0.5000, 0.5000, 0.0000)
Pt (0.1656, 0.1656, 0.6807)
Pt (0.8344, 0.8344, 0.3193)



No. 3
## Ce8OsPt2 (PBE)

Data for Ce8OsPt2 after structural relaxation.

Summary:
calculated formation energy: -401 meV per atom
SG: C2/m

Lattice parameters (Å, degrees): 7.6386 7.6386 5.6839 100.64 100.64 116.92
Positions (direct):
Ce (0.0856, 0.2914, 0.5865)
Ce (0.2164, 0.7836, 0.0000)
Ce (0.2914, 0.0856, 0.5865)
Ce (0.3664, 0.3664, 0.1646)
Ce (0.6336, 0.6336, 0.8354)
Ce (0.7086, 0.9144, 0.4135)
Ce (0.7836, 0.2164, 0.0000)
Ce (0.9144, 0.7086, 0.4135)
Os (0.0000, 0.0000, 0.0000)
Pt (0.3091, 0.6909, 0.5000)
Pt (0.6909, 0.3091, 0.5000)



No. 4
## Ce4OsPt2 (PBE)

Data for Ce4OsPt2 after structural relaxation.

Summary:
calculated formation energy: -604 meV per atom
SG: I4_1/amd

Lattice parameters (Å, degrees): 7.7962 7.7962 7.7962 110.66 110.66 107.12
Positions (direct):
Ce (0.1890, 0.2392, 0.5502)
Ce (0.1890, 0.6387, 0.9498)
Ce (0.2392, 0.1890, 0.0502)
Ce (0.3613, 0.8110, 0.5502)
Ce (0.6387, 0.1890, 0.4498)
Ce (0.7608, 0.8110, 0.9498)
Ce (0.8110, 0.3613, 0.0502)
Ce (0.8110, 0.7608, 0.4498)
Os (0.1250, 0.8750, 0.2500)
Os (0.8750, 0.1250, 0.7500)
Pt (0.0000, 0.5000, 0.5000)
Pt (0.5000, 0.0000, 0.0000)
Pt (0.5000, 0.5000, 0.0000)
Pt (0.5000, 0.5000, 0.5000)



No. 5
## Ce6OsPt2 (PBE)

Data for Ce6OsPt2 after structural relaxation.

Summary:
calculated formation energy: -543 meV per atom
SG: Amm2

Lattice parameters (Å, degrees): 4.5375 7.6515 7.6515 123.82 90.00 90.00
Positions (direct):
Ce (0.0000, 0.0000, 0.0000)
Ce (0.0000, 0.4295, 0.6271)
Ce (0.0000, 0.6271, 0.4295)
Ce (0.5000, 0.0615, 0.6605)
Ce (0.5000, 0.2624, 0.2624)
Ce (0.5000, 0.6605, 0.0615)
Os (0.5000, 0.7615, 0.7615)
Pt (0.0000, 0.3456, 0.9553)
Pt (0.0000, 0.9553, 0.3456)



No. 6
## Ce6OsPt (PBE)

Data for Ce6OsPt after structural relaxation.

Summary:
calculated formation energy: -247 meV per atom
SG: P-1

Lattice parameters (Å, degrees): 4.0021 7.1519 8.0496 65.29 89.73 74.86
Positions (direct):
Ce (0.0256, 0.4895, 0.2539)
Ce (0.1626, 0.7665, 0.3932)
Ce (0.4298, 0.2268, 0.0808)
Ce (0.5702, 0.7732, 0.9192)
Ce (0.8374, 0.2335, 0.6068)
Ce (0.9744, 0.5105, 0.7461)
Os (0.0000, 0.0000, 0.0000)
Pt (0.5000, 0.0000, 0.5000)



No. 7
## CePuOsPt (PBE)

Data for CePuOsPt after structural relaxation.

Summary:
calculated formation energy: -401 meV per atom
SG: F-43m

Lattice parameters (Å, degrees): 4.9195 4.9195 4.9195 60.00 60.00 60.00
Positions (direct):
Ce (0.0000, 0.0000, 0.0000)
Pu (0.5000, 0.5000, 0.5000)
Os (0.7500, 0.7500, 0.7500)
Pt (0.2500, 0.2500, 0.2500)



No. 8
## CeScOsPt (PBE)

Data for CeScOsPt after structural relaxation.

Summary:
calculated formation energy: -600 meV per atom
SG: F-43m

Lattice parameters (Å, degrees): 4.8055 4.8055 4.8055 60.00 60.00 60.00
Positions (direct):
Ce (0.0000, 0.0000, 0.0000)
Sc (0.5000, 0.5000, 0.5000)
Os (0.7500, 0.7500, 0.7500)
Pt (0.2500, 0.2500, 0.2500)